DFT (PBE) results for YMgSc after structural relaxation.

Results
DOS at the Fermi energy: 9.15 states/eV per cell
Polymorph energy (0 for the lowest one): 43 meV/atom
V: 26.73 Å³ per atom
Energy: -14.34 eV per formula unit

The structure in CIF format:
```
data_YMgSc
_chemical_formula_sum 'Y2 Mg2 Sc2'
_cell_length_a 5.513
_cell_length_b 8.613
_cell_length_c 3.563
_cell_angle_alpha 90.00
_cell_angle_beta 90.00
_cell_angle_gamma 71.42
_space_group_name_H-M_alt 'P 1'
_space_group_IT_number 1
_space_group_name_Hall 'P 1'
loop_
_atom_site_label
_atom_site_type_symbol
_atom_site_fract_x
_atom_site_fract_y
_atom_site_fract_z
_atom_site_occupancy
Mg1 Mg 0.888 0.567 0.744 1
Mg2 Mg 0.197 0.948 0.745 1
Sc1 Sc 0.642 0.258 0.744 1
Sc2 Sc 0.149 0.257 0.244 1
Y1 Y 0.373 0.599 0.244 1
Y2 Y 0.714 0.917 0.244 1
```